# 1
Here is a crystal of La2CuAg relaxed with PBEsol from Alexandria via LeMat-Bulk. Energies are from SCAN.

Computed properties:
* raw total energy: -33.411 eV/atom
* density of states at the Fermi level: 2.38 states/eV/cell

a b c (Å): 5.198 5.198 5.198
angles (deg): 60.00 60.00 60.00
Atoms (fractional coordinates):
Cu  0.000  0.000  0.000
Ag  0.500  0.500  0.500
La  0.750  0.750  0.750
La  0.250  0.250  0.250

# 2
Here is a crystal of LaCu2Ag relaxed with PBEsol from Alexandria via LeMat-Bulk. Energies are from SCAN.

Computed properties:
* raw total energy: -26.152 eV/atom
* density of states at the Fermi level: 1.57 states/eV/cell

a b c (Å): 4.771 4.771 4.771
angles (deg): 60.00 60.00 60.00
Atoms (fractional coordinates):
Ag  0.500  0.500  0.500
Cu  0.000  0.000  0.000
Cu  0.750  0.750  0.750
La  0.250  0.250  0.250

# 3
Here is a crystal of LaCu2Ag relaxed with PBEsol from Alexandria via LeMat-Bulk. Energies are from SCAN.

Computed properties:
* raw total energy: -26.366 eV/atom
* density of states at the Fermi level: 2.23 states/eV/cell

a b c (Å): 4.391 4.391 5.305
angles (deg): 65.55 65.55 60.00
Atoms (fractional coordinates):
Cu  0.706  0.706  0.883
Cu  0.294  0.294  0.117
Ag  0.000  0.000  0.000
La  0.500  0.500  0.500

# 4
Here is a crystal of LaCu2Ag relaxed with PBEsol from Alexandria via LeMat-Bulk. Energies are from SCAN.

Computed properties:
* raw total energy: -26.228 eV/atom
* density of states at the Fermi level: 1.39 states/eV/cell

a b c (Å): 3.331 3.331 6.535
angles (deg): 90.00 90.00 90.00
Atoms (fractional coordinates):
Ag  0.500  0.500  0.500
Cu  0.000  0.000  0.692
Cu  0.000  0.000  0.308
La  0.500  0.500  0.000

# 5
Here is a crystal of LaCuAg2 relaxed with PBEsol from Alexandria via LeMat-Bulk. Energies are from SCAN.

Computed properties:
* raw total energy: -30.297 eV/atom
* density of states at the Fermi level: 1.62 states/eV/cell

a b c (Å): 3.212 4.297 6.056
angles (deg): 90.00 105.38 90.00
Atoms (fractional coordinates):
Ag  0.894  0.000  0.787
Ag  0.313  0.500  0.626
Cu  0.194  0.000  0.387
La  0.572  0.500  0.145

# 6
Here is a crystal of La2CuAg relaxed with PBEsol from Alexandria via LeMat-Bulk. Energies are from SCAN.

Computed properties:
* raw total energy: -33.422 eV/atom
* density of states at the Fermi level: 3.11 states/eV/cell

a b c (Å): 3.702 3.702 7.133
angles (deg): 90.00 90.00 90.00
Atoms (fractional coordinates):
Cu  0.500  0.500  0.500
Ag  0.500  0.500  0.000
La  0.000  0.000  0.729
La  0.000  0.000  0.271

# 7
Here is a crystal of LaCuAg2 relaxed with PBEsol from Alexandria via LeMat-Bulk. Energies are from SCAN.

Computed properties:
* raw total energy: -30.430 eV/atom
* density of states at the Fermi level: 2.10 states/eV/cell

a b c (Å): 4.526 4.526 5.407
angles (deg): 65.26 65.26 60.00
Atoms (fractional coordinates):
Cu  0.549  0.549  0.353
Ag  0.971  0.971  0.087
Ag  0.235  0.235  0.294
La  0.758  0.758  0.726

# 8
Here is a crystal of LaCu2Ag relaxed with PBEsol from Alexandria via LeMat-Bulk. Energies are from SCAN.

Computed properties:
* raw total energy: -26.354 eV/atom
* density of states at the Fermi level: 2.34 states/eV/cell

a b c (Å): 4.292 4.292 5.508
angles (deg): 67.07 67.07 60.00
Atoms (fractional coordinates):
Cu  0.980  0.980  0.060
Cu  0.302  0.302  0.095
Ag  0.711  0.711  0.866
La  0.508  0.508  0.476

# 9
Here is a crystal of La2CuAg relaxed with PBEsol from Alexandria via LeMat-Bulk. Energies are from SCAN.

Computed properties:
* raw total energy: -33.424 eV/atom
* density of states at the Fermi level: 3.23 states/eV/cell

a b c (Å): 3.990 4.654 5.840
angles (deg): 90.00 109.97 90.00
Atoms (fractional coordinates):
Cu  0.559  0.500  0.118
Ag  0.693  0.000  0.387
La  0.982  0.000  0.965
La  0.272  0.500  0.544

# 10
Here is a crystal of LaCuAg2Pt relaxed with PBEsol from Alexandria via LeMat-Bulk. Energies are from SCAN.

Computed properties:
* raw total energy: -37.971 eV/atom
* density of states at the Fermi level: 2.13 states/eV/cell

a b c (Å): 4.601 4.601 5.309
angles (deg): 90.00 90.00 90.00
Atoms (fractional coordinates):
Cu  0.000  0.000  0.000
Ag  0.000  0.500  0.000
Ag  0.500  0.000  0.000
Pt  0.500  0.500  0.500
La  0.000  0.000  0.500

# 11
Here is a crystal of LaCuAg2Pt relaxed with PBEsol from Alexandria via LeMat-Bulk. Energies are from SCAN.

Computed properties:
* raw total energy: -38.131 eV/atom
* density of states at the Fermi level: 2.91 states/eV/cell

a b c (Å): 4.662 5.003 5.003
angles (deg): 90.00 90.00 90.00
Atoms (fractional coordinates):
Cu  0.500  0.000  0.000
Ag  0.000  0.000  0.500
Ag  0.000  0.500  0.000
Pt  0.000  0.000  0.000
La  0.500  0.500  0.500

# 12
Here is a crystal of LiCu2Ag relaxed with PBEsol from Alexandria via LeMat-Bulk. Energies are from SCAN.

Computed properties:
* raw total energy: -16.042 eV/atom
* density of states at the Fermi level: 1.27 states/eV/cell

a b c (Å): 3.612 3.681 3.857
angles (deg): 90.00 90.00 90.00
Atoms (fractional coordinates):
Ag  0.000  0.500  0.500
Cu  0.000  0.000  0.000
Cu  0.500  0.500  0.000
Li  0.500  0.000  0.500

# 13
Here is a crystal of LiCu2Ag relaxed with PBEsol from Alexandria via LeMat-Bulk. Energies are from SCAN.

Computed properties:
* raw total energy: -15.984 eV/atom
* density of states at the Fermi level: 1.26 states/eV/cell

a b c (Å): 4.209 4.209 4.209
angles (deg): 60.00 60.00 60.00
Atoms (fractional coordinates):
Ag  0.000  0.000  0.000
Cu  0.250  0.250  0.250
Cu  0.750  0.750  0.750
Li  0.500  0.500  0.500

# 14
Here is a crystal of LiCu2Ag relaxed with PBEsol from Alexandria via LeMat-Bulk. Energies are from SCAN.

Computed properties:
* raw total energy: -15.996 eV/atom
* density of states at the Fermi level: 1.23 states/eV/cell

a b c (Å): 2.651 4.636 4.636
angles (deg): 112.35 90.00 90.00
Atoms (fractional coordinates):
Ag  0.500  0.500  0.500
Cu  0.000  0.500  0.000
Cu  0.000  0.000  0.500
Li  0.500  0.000  0.000

# 15
Here is a crystal of LiCu2Ag relaxed with PBEsol from Alexandria via LeMat-Bulk. Energies are from SCAN.

Computed properties:
* raw total energy: -16.037 eV/atom
* density of states at the Fermi level: 1.04 states/eV/cell

a b c (Å): 3.767 3.767 4.510
angles (deg): 114.68 114.68 90.00
Atoms (fractional coordinates):
Ag  0.250  0.750  0.500
Cu  0.000  0.000  0.000
Cu  0.750  0.250  0.500
Li  0.500  0.500  0.000

# 16
Here is a crystal of LiCu2Ag relaxed with PBEsol from Alexandria via LeMat-Bulk. Energies are from SCAN.

Computed properties:
* raw total energy: -16.049 eV/atom
* density of states at the Fermi level: 1.06 states/eV/cell

a b c (Å): 3.574 3.654 4.690
angles (deg): 112.93 112.40 90.00
Atoms (fractional coordinates):
Ag  0.000  0.500  0.000
Cu  0.751  0.751  0.502
Cu  0.249  0.249  0.498
Li  0.500  0.000  0.000

# 17
Here is a crystal of LiCuAg4 relaxed with PBEsol from Alexandria via LeMat-Bulk. Energies are from SCAN.

Computed properties:
* raw total energy: -23.650 eV/atom
* density of states at the Fermi level: 1.32 states/eV/cell

a b c (Å): 5.318 5.318 5.318
angles (deg): 60.00 60.00 60.00
Atoms (fractional coordinates):
Ag  0.375  0.375  0.375
Ag  0.375  0.375  0.875
Ag  0.875  0.375  0.375
Ag  0.375  0.875  0.375
Cu  0.750  0.750  0.750
Li  0.000  0.000  0.000

# 18
Here is a crystal of LiCu2Ag relaxed with PBEsol from Alexandria via LeMat-Bulk. Energies are from SCAN.

Computed properties:
* raw total energy: -16.022 eV/atom
* density of states at the Fermi level: 1.31 states/eV/cell

a b c (Å): 4.179 4.179 4.179
angles (deg): 60.00 60.00 60.00
Atoms (fractional coordinates):
Ag  0.500  0.500  0.500
Cu  0.000  0.000  0.000
Cu  0.750  0.750  0.750
Li  0.250  0.250  0.250

# 19
Here is a crystal of LiCu2Ag relaxed with PBEsol from Alexandria via LeMat-Bulk. Energies are from SCAN.

Computed properties:
* raw total energy: -16.037 eV/atom
* density of states at the Fermi level: 1.14 states/eV/cell

a b c (Å): 2.648 3.636 5.403
angles (deg): 90.00 90.08 90.00
Atoms (fractional coordinates):
Ag  0.500  0.500  0.749
Cu  0.000  0.000  0.024
Cu  0.500  0.500  0.240
Li  0.000  0.000  0.488

# 20
Here is a crystal of LiCu2Ag relaxed with PBEsol from Alexandria via LeMat-Bulk. Energies are from SCAN.

Computed properties:
* raw total energy: -16.032 eV/atom
* density of states at the Fermi level: 1.03 states/eV/cell

a b c (Å): 2.656 4.429 4.668
angles (deg): 99.30 106.53 90.00
Atoms (fractional coordinates):
Ag  0.500  0.000  0.000
Cu  0.249  0.253  0.497
Cu  0.751  0.747  0.503
Li  0.000  0.500  0.000

# 21
Here is a crystal of MgCuAg2 relaxed with PBEsol from Alexandria via LeMat-Bulk. Energies are from SCAN.

Computed properties:
* raw total energy: -20.768 eV/atom
* density of states at the Fermi level: 0.84 states/eV/cell

a b c (Å): 4.461 4.461 4.461
angles (deg): 60.00 60.00 60.00
Atoms (fractional coordinates):
Mg  0.250  0.250  0.250
Ag  0.000  0.000  0.000
Ag  0.750  0.750  0.750
Cu  0.500  0.500  0.500

# 22
Here is a crystal of MgCu2Ag relaxed with PBEsol from Alexandria via LeMat-Bulk. Energies are from SCAN.

Computed properties:
* raw total energy: -16.721 eV/atom
* density of states at the Fermi level: 1.28 states/eV/cell

a b c (Å): 3.853 3.850 3.805
angles (deg): 90.00 90.00 90.00
Atoms (fractional coordinates):
Mg  0.500  0.000  0.500
Cu  0.000  0.000  0.000
Cu  0.500  0.500  0.000
Ag  0.000  0.500  0.500

# 23
Here is a crystal of MgCuAg relaxed with PBEsol from Alexandria via LeMat-Bulk. Energies are from SCAN.

Computed properties:
* raw total energy: -17.127 eV/atom
* density of states at the Fermi level: 0.51 states/eV/cell

a b c (Å): 2.895 2.895 6.497
angles (deg): 90.00 90.00 120.00
Atoms (fractional coordinates):
Ag  0.000  0.000  0.989
Cu  0.333  0.667  0.666
Mg  0.667  0.333  0.345

# 24
Here is a crystal of MgCuAg2 relaxed with PBEsol from Alexandria via LeMat-Bulk. Energies are from SCAN.

Computed properties:
* raw total energy: -20.764 eV/atom
* density of states at the Fermi level: 1.28 states/eV/cell

a b c (Å): 2.989 4.618 4.936
angles (deg): 104.79 107.63 90.00
Atoms (fractional coordinates):
Mg  0.243  0.751  0.485
Ag  0.000  0.993  0.000
Ag  0.759  0.269  0.517
Cu  0.499  0.488  0.997

# 25
Here is a crystal of MgCuAg2 relaxed with PBEsol from Alexandria via LeMat-Bulk. Energies are from SCAN.

Computed properties:
* raw total energy: -20.776 eV/atom
* density of states at the Fermi level: 1.15 states/eV/cell

a b c (Å): 2.932 3.812 5.612
angles (deg): 90.00 90.00 90.00
Atoms (fractional coordinates):
Mg  0.500  0.500  0.743
Ag  0.000  0.000  0.998
Ag  0.500  0.500  0.266
Cu  0.000  0.000  0.494

# 26
Here is a crystal of Mg2CuAg relaxed with PBEsol from Alexandria via LeMat-Bulk. Energies are from SCAN.

Computed properties:
* raw total energy: -14.280 eV/atom
* density of states at the Fermi level: 1.18 states/eV/cell

a b c (Å): 3.184 4.488 5.384
angles (deg): 114.63 107.20 90.00
Atoms (fractional coordinates):
Mg  0.979  0.979  0.958
Mg  0.759  0.259  0.518
Ag  0.518  0.518  0.036
Cu  0.244  0.744  0.488

# 27
Here is a crystal of MgCu2Ag relaxed with PBEsol from Alexandria via LeMat-Bulk. Energies are from SCAN.

Computed properties:
* raw total energy: -16.724 eV/atom
* density of states at the Fermi level: 1.25 states/eV/cell

a b c (Å): 3.857 3.857 4.673
angles (deg): 114.38 114.38 90.00
Atoms (fractional coordinates):
Mg  0.500  0.500  0.000
Cu  0.750  0.250  0.500
Cu  0.250  0.750  0.500
Ag  0.000  0.000  0.000

# 28
Here is a crystal of MgCuAg2 relaxed with PBEsol from Alexandria via LeMat-Bulk. Energies are from SCAN.

Computed properties:
* raw total energy: -20.797 eV/atom
* density of states at the Fermi level: 1.30 states/eV/cell

a b c (Å): 3.901 3.991 3.991
angles (deg): 90.00 90.00 90.00
Atoms (fractional coordinates):
Mg  0.500  0.000  0.000
Ag  0.000  0.000  0.500
Ag  0.000  0.500  0.000
Cu  0.500  0.500  0.500

# 29
Here is a crystal of MgCuAg2 relaxed with PBEsol from Alexandria via LeMat-Bulk. Energies are from SCAN.

Computed properties:
* raw total energy: -20.803 eV/atom
* density of states at the Fermi level: 1.28 states/eV/cell

a b c (Å): 4.019 4.020 4.785
angles (deg): 114.84 114.83 90.00
Atoms (fractional coordinates):
Mg  0.500  0.000  0.000
Ag  0.750  0.750  0.500
Ag  0.250  0.250  0.500
Cu  0.000  0.500  0.000

# 30
Here is a crystal of Mg2CuAg relaxed with PBEsol from Alexandria via LeMat-Bulk. Energies are from SCAN.

Computed properties:
* raw total energy: -14.310 eV/atom
* density of states at the Fermi level: 0.95 states/eV/cell

a b c (Å): 3.184 4.533 4.534
angles (deg): 90.00 90.01 90.00
Atoms (fractional coordinates):
Mg  0.875  0.000  0.876
Mg  0.875  0.500  0.374
Cu  0.375  0.500  0.874
Ag  0.375  0.000  0.376

# 31
Here is a crystal of MgCu2Ag relaxed with PBEsol from Alexandria via LeMat-Bulk. Energies are from SCAN.

Computed properties:
* raw total energy: -16.725 eV/atom
* density of states at the Fermi level: 1.19 states/eV/cell

a b c (Å): 3.851 3.851 4.685
angles (deg): 114.27 114.27 90.00
Atoms (fractional coordinates):
Mg  0.500  0.500  0.000
Cu  0.000  0.000  0.000
Cu  0.750  0.250  0.500
Ag  0.250  0.750  0.500